1.
First-principles (PBE-GGA) data for a geometry-optimized AlCuSe structure, as listed in Alexandria via LeMat-Bulk.

Output
DFT total energy = -21.78 eV for the cell shown
ρ = 5.6 Mg/m³
E_form (uncorrected) = 42 kJ/mol of formula units

```
6
Lattice="2.985 0.000 0.000 0.000 2.985 0.000 0.000 0.000 11.213" Properties=species:S:1:pos:R:3 pbc="T T T"
Al 0.000 0.000 0.000
Al 1.492 1.492 5.606
Cu 0.000 0.000 7.121
Cu 1.492 1.492 1.514
Se 0.000 0.000 3.459
Se 1.492 1.492 9.065
```

2.
First-principles (PBE-GGA) data for a geometry-optimized CsPaC2O8 structure, as listed in Alexandria via LeMat-Bulk.

Output
DFT total energy = -89.01 eV for the cell shown
ρ = 4.1 Mg/m³
E_form (uncorrected) = -1983 kJ/mol of formula units

```
12
Lattice="5.259 0.000 0.000 -2.629 4.554 0.000 0.000 0.000 8.688" Properties=species:S:1:pos:R:3 pbc="T T T"
Cs 0.000 0.000 0.000
Pa 0.000 0.000 4.344
C 0.000 3.036 6.091
C 2.629 1.518 2.596
O -0.207 1.734 5.621
O -1.025 3.866 5.621
O 0.000 3.036 7.437
O 1.398 1.046 3.067
O 1.231 3.508 5.621
O 2.629 1.518 1.251
O 3.654 0.688 3.067
O 2.836 2.821 3.067
```

3.
First-principles (PBE-GGA) data for a geometry-optimized Ce2USe5 structure, as listed in Alexandria via LeMat-Bulk.

Output
DFT total energy = -105.19 eV for the cell shown
ρ = 5.4 Mg/m³
E_form (uncorrected) = -1159 kJ/mol of formula units

```
16
Lattice="2.849 -7.040 0.000 2.849 7.040 0.000 0.000 0.000 13.956" Properties=species:S:1:pos:R:3 pbc="T T T"
Ce 2.849 4.999 7.824
Ce 2.849 4.999 13.110
Ce 2.849 -4.999 0.846
Ce 2.849 -4.999 6.132
U 2.849 4.212 3.489
U 2.849 -4.212 10.467
Se 2.849 6.353 1.697
Se 2.849 6.353 5.281
Se 2.849 3.473 10.467
Se 2.849 2.649 1.047
Se 2.849 2.649 5.931
Se 2.849 -2.649 8.025
Se 2.849 -2.649 12.909
Se 2.849 -3.473 3.489
Se 2.849 -6.353 8.675
Se 2.849 -6.353 12.258
```

4.
First-principles (PBE-GGA) data for a geometry-optimized RhBr2 structure, as listed in Alexandria via LeMat-Bulk.

Output
DFT total energy = -36.65 eV for the cell shown
ρ = 3.9 Mg/m³
E_form (uncorrected) = 148 kJ/mol of formula units

```
12
Lattice="8.178 0.000 0.000 -4.089 7.082 0.000 0.000 0.000 7.648" Properties=species:S:1:pos:R:3 pbc="T T T"
Rh 0.000 4.722 0.597
Rh 0.000 4.722 3.228
Rh 4.089 2.361 4.421
Rh 4.089 2.361 7.052
Br 0.000 0.000 0.000
Br 0.000 0.000 3.824
Br 0.000 2.649 1.912
Br -1.795 5.758 1.912
Br 2.294 1.325 5.736
Br 1.795 5.758 1.912
Br 5.884 1.325 5.736
Br 4.089 4.433 5.736
```

5.
First-principles (PBE-GGA) data for a geometry-optimized AcY3Ho3 structure, as listed in Alexandria via LeMat-Bulk.

Output
DFT total energy = -145.29 eV for the cell shown
ρ = 6.8 Mg/m³
energy of formation = 130 meV per atom

```
28
Lattice="6.808 -11.136 0.000 6.808 11.136 0.000 -2.222 0.000 6.356" Properties=species:S:1:pos:R:3 pbc="T T T"
Ac 0.000 0.000 0.000
Ac 6.719 -9.081 3.833
Ac 6.719 9.081 3.833
Ac 10.175 0.000 2.655
Y 3.031 6.128 2.056
Y 4.957 8.244 0.252
Y 4.809 6.060 4.887
Y 4.761 2.298 0.111
Y 2.870 0.000 1.903
Y 4.408 0.000 4.916
Y 4.761 -2.298 0.111
Y 7.866 2.776 3.573
Y 3.031 -6.128 2.056
Y 4.957 -8.244 0.252
Y 4.809 -6.060 4.887
Y 7.866 -2.776 3.573
Ho 1.645 3.247 0.983
Ho 8.245 -5.870 5.097
Ho 4.183 2.996 3.408
Ho 6.262 5.244 1.759
Ho 1.645 -3.247 0.983
Ho 8.169 2.891 0.047
Ho 8.245 5.870 5.097
Ho 6.446 0.000 2.095
Ho 4.183 -2.996 3.408
Ho 7.733 0.000 5.480
Ho 8.169 -2.891 0.047
Ho 6.262 -5.244 1.759
```

6.
First-principles (PBE-GGA) data for a geometry-optimized TeHRuN2 structure, as listed in Alexandria via LeMat-Bulk.

Output
DFT total energy = -27.37 eV for the cell shown
ρ = 5.4 Mg/m³

```
5
Lattice="3.723 0.000 0.000 0.000 3.723 0.000 0.000 0.000 5.738" Properties=species:S:1:pos:R:3 pbc="T T T"
Te 0.000 0.000 0.000
H 1.861 1.861 0.000
Ru 0.000 0.000 2.869
N 0.000 1.861 2.869
N 1.861 0.000 2.869
```